Computed, not measured: a geometry-optimized PmCoTe2O8 structure at the PBE with a Hubbard U level of DFT.

```
12
Lattice="6.1739 0.1974 0.0000 -2.5613 5.6210 0.0000 -1.8063 -2.9092 5.1410" Properties=species:S:1:pos:R:3 pbc="T T T"
Te 3.0869 0.0987 2.5705
Te 1.8063 2.9092 0.0000
O 3.2458 -1.4659 3.5308
O 2.9281 1.6633 3.5308
O -0.1802 1.6393 4.1232
O 3.3554 3.4748 1.0178
O 0.1802 -1.6393 4.1232
O 4.5597 0.6502 1.6102
O 0.2571 2.3436 1.0178
O 1.6142 -0.4528 1.6102
Co -1.2807 2.8105 2.5705
Pm 0.0000 0.0000 0.0000
```

Results
N(E_F): 2.4 states/eV/cell
Electronic total energy: -0.2182 hartree per atom